Record 1
# LaGaO3

LaGaO3 at its PBEsol-relaxed geometry (meta-GGA SCAN, the Alexandria database).

Computed properties:
total energy = -18.614 eV per atom

Cell and atoms, written as CIF:
```
data_LaGaO3
_cell_length_a 5.453
_cell_length_b 5.453
_cell_length_c 5.453
_cell_angle_alpha 60.88
_cell_angle_beta 60.88
_cell_angle_gamma 60.88
_symmetry_space_group_name_H-M 'P 1'
_symmetry_Int_Tables_number 1
loop_
_symmetry_equiv_pos_as_xyz
'x,y,z'
loop_
_atom_site_label
_atom_site_type_symbol
_atom_site_fract_x
_atom_site_fract_y
_atom_site_fract_z
O1 O 0.312 0.180 0.746
La1 La 0.246 0.246 0.246
La2 La 0.746 0.746 0.746
O2 O 0.680 0.812 0.246
Ga1 Ga 0.996 0.996 0.996
Ga2 Ga 0.496 0.496 0.496
O3 O 0.180 0.746 0.312
O4 O 0.746 0.312 0.180
O5 O 0.812 0.246 0.680
O6 O 0.246 0.680 0.812
```



Record 2
# LaGaO3

LaGaO3 at its PBEsol-relaxed geometry (meta-GGA SCAN, the Alexandria database).

Computed properties:
total energy = -18.615 eV per atom

Cell and atoms, written as CIF:
```
data_LaGaO3
_cell_length_a 5.494
_cell_length_b 5.505
_cell_length_c 7.766
_cell_angle_alpha 90.00
_cell_angle_beta 90.00
_cell_angle_gamma 90.00
_symmetry_space_group_name_H-M 'P 1'
_symmetry_Int_Tables_number 1
loop_
_symmetry_equiv_pos_as_xyz
'x,y,z'
loop_
_atom_site_label
_atom_site_type_symbol
_atom_site_fract_x
_atom_site_fract_y
_atom_site_fract_z
La1 La 0.972 0.993 0.250
O1 O 0.279 0.279 0.540
O2 O 0.279 0.279 0.960
La2 La 0.472 0.507 0.250
Ga1 Ga 0.500 0.000 0.000
O3 O 0.721 0.721 0.040
Ga2 Ga 0.500 0.000 0.500
O4 O 0.221 0.779 0.040
O5 O 0.512 0.074 0.250
Ga3 Ga 0.000 0.500 0.500
O6 O 0.779 0.221 0.540
O7 O 0.488 0.926 0.750
O8 O 0.221 0.779 0.460
O9 O 0.721 0.721 0.460
O10 O 0.012 0.426 0.250
Ga4 Ga 0.000 0.500 0.000
O11 O 0.988 0.574 0.750
La3 La 0.528 0.493 0.750
La4 La 0.028 0.007 0.750
O12 O 0.779 0.221 0.960
```



Record 3
# LaGaO3

LaGaO3 at its PBEsol-relaxed geometry (meta-GGA SCAN, the Alexandria database).

Computed properties:
total energy = -18.570 eV per atom

Cell and atoms, written as CIF:
```
data_LaGaO3
_cell_length_a 3.865
_cell_length_b 3.865
_cell_length_c 3.865
_cell_angle_alpha 90.00
_cell_angle_beta 90.00
_cell_angle_gamma 90.00
_symmetry_space_group_name_H-M 'P 1'
_symmetry_Int_Tables_number 1
loop_
_symmetry_equiv_pos_as_xyz
'x,y,z'
loop_
_atom_site_label
_atom_site_type_symbol
_atom_site_fract_x
_atom_site_fract_y
_atom_site_fract_z
La1 La 0.500 0.500 0.500
O1 O 0.000 0.000 0.500
O2 O 0.500 0.000 0.000
O3 O 0.000 0.500 0.000
Ga1 Ga 0.000 0.000 0.000
```



Record 4
# La2GaOsO

La2GaOsO at its PBEsol-relaxed geometry (meta-GGA SCAN, the Alexandria database).

Computed properties:
total energy = -37.126 eV per atom

Cell and atoms, written as CIF:
```
data_La2GaOsO
_cell_length_a 4.203
_cell_length_b 4.849
_cell_length_c 4.849
_cell_angle_alpha 90.00
_cell_angle_beta 90.00
_cell_angle_gamma 90.00
_symmetry_space_group_name_H-M 'P 1'
_symmetry_Int_Tables_number 1
loop_
_symmetry_equiv_pos_as_xyz
'x,y,z'
loop_
_atom_site_label
_atom_site_type_symbol
_atom_site_fract_x
_atom_site_fract_y
_atom_site_fract_z
La1 La 0.000 0.000 0.500
Os1 Os 0.500 0.500 0.500
O1 O 0.000 0.000 0.000
La2 La 0.000 0.500 0.000
Ga1 Ga 0.500 0.000 0.000
```



Record 5
# LaPr3Ga4O12

LaPr3Ga4O12 at its PBEsol-relaxed geometry (meta-GGA SCAN, the Alexandria database).

Computed properties:
total energy = -18.606 eV per atom

Cell and atoms, written as CIF:
```
data_LaPr3Ga4O12
_cell_length_a 5.466
_cell_length_b 5.506
_cell_length_c 7.744
_cell_angle_alpha 90.00
_cell_angle_beta 90.00
_cell_angle_gamma 90.05
_symmetry_space_group_name_H-M 'P 1'
_symmetry_Int_Tables_number 1
loop_
_symmetry_equiv_pos_as_xyz
'x,y,z'
loop_
_atom_site_label
_atom_site_type_symbol
_atom_site_fract_x
_atom_site_fract_y
_atom_site_fract_z
O1 O 0.579 0.017 0.000
O2 O 0.284 0.716 0.206
O3 O 0.717 0.284 0.292
Pr1 Pr 0.489 0.459 0.000
O4 O 0.284 0.716 0.794
O5 O 0.421 0.986 0.500
La1 La 0.508 0.534 0.500
O6 O 0.217 0.216 0.793
Ga1 Ga 0.500 0.999 0.249
Ga2 Ga 0.000 0.501 0.249
O7 O 0.717 0.284 0.708
O8 O 0.075 0.484 0.500
Pr2 Pr 0.010 0.960 0.000
O9 O 0.920 0.516 0.000
O10 O 0.786 0.787 0.709
O11 O 0.786 0.787 0.291
O12 O 0.217 0.216 0.207
Ga3 Ga 0.000 0.501 0.751
Ga4 Ga 0.500 0.999 0.751
Pr3 Pr 0.990 0.040 0.500
```



Record 6
# LaGaSe2O

LaGaSe2O at its PBEsol-relaxed geometry (meta-GGA SCAN, the Alexandria database).

Computed properties:
total energy = -23.215 eV per atom

Cell and atoms, written as CIF:
```
data_LaGaSe2O
_cell_length_a 5.894
_cell_length_b 5.905
_cell_length_c 12.200
_cell_angle_alpha 90.00
_cell_angle_beta 90.00
_cell_angle_gamma 90.00
_symmetry_space_group_name_H-M 'P 1'
_symmetry_Int_Tables_number 1
loop_
_symmetry_equiv_pos_as_xyz
'x,y,z'
loop_
_atom_site_label
_atom_site_type_symbol
_atom_site_fract_x
_atom_site_fract_y
_atom_site_fract_z
Se1 Se 0.249 0.518 0.588
La1 La 0.754 0.997 0.904
O1 O 0.001 0.251 0.998
Ga1 Ga 0.158 0.922 0.602
La2 La 0.254 0.503 0.904
Se2 Se 0.757 0.993 0.218
O2 O 0.501 0.249 0.998
Ga2 Ga 0.658 0.578 0.602
Se3 Se 0.749 0.982 0.588
Se4 Se 0.249 0.018 0.412
Ga3 Ga 0.158 0.422 0.398
La3 La 0.754 0.497 0.096
Ga4 Ga 0.658 0.078 0.398
Se5 Se 0.257 0.507 0.218
Se6 Se 0.757 0.493 0.782
La4 La 0.254 0.003 0.096
O3 O 0.001 0.751 0.002
O4 O 0.501 0.749 0.002
Se7 Se 0.257 0.007 0.782
Se8 Se 0.749 0.482 0.412
```



Number 1: DOS at the Fermi energy 0.0 states/eV/f.u., formation energy (no corrections) -288.0 kJ per mole of atoms. Number 2: DOS at the Fermi energy 0.0 states/eV/f.u., formation energy (no corrections) -288.1 kJ per mole of atoms. Number 3: DOS at the Fermi energy 0.0 states/eV/f.u., formation energy (no corrections) -283.8 kJ per mole of atoms. Number 4: DOS at the Fermi energy 1.6 states/eV/f.u., formation energy (no corrections) -95.7 kJ per mole of atoms. Number 5: DOS at the Fermi energy 0.0 states/eV/f.u., formation energy (no corrections) -284.1 kJ per mole of atoms. Number 6: DOS at the Fermi energy 0.0 states/eV/f.u., formation energy (no corrections) -197.5 kJ per mole of atoms.